Compound: TlHg2H8
Source: the Alexandria database
Functional: GGA-PBE
Structure: optimized geometry

Computed properties:
E_tot ... -2.345 eV per atom
Density of states at the Fermi level ... 1.3 states/eV per cell
Symmetry ... P-1, No. 2

Cell: 3.490 7.038 10.462 Å, 44.14 110.57 107.88°
Fractional coordinates of all 11 atoms:
Tl  0.000  0.000  0.000
Hg  0.437  0.345  0.334
Hg  0.563  0.655  0.666
H  0.794  0.560  0.344
H  0.082  0.130  0.326
H  0.206  0.440  0.656
H  0.536  0.438  0.017
H  0.918  0.870  0.674
H  0.372  0.870  0.957
H  0.628  0.130  0.043
H  0.464  0.562  0.983



Compound: Co4SiPb
Source: the Alexandria database
Functional: GGA-PBE
Structure: optimized geometry

Computed properties:
E_tot ... -5.866 eV per atom
Density of states at the Fermi level ... 9.8 states/eV per cell
Symmetry ... F-43m, No. 216
Raw formation energy ... 393 meV/atom

Cell: 4.893 4.893 4.893 Å, 60.00 60.00 60.00°
Last column: magnetic moment on the atom in μB.
Fractional coordinates of all 6 atoms:
Co  0.878  0.374  0.374  1.50
Co  0.374  0.374  0.878  1.50
Co  0.374  0.878  0.374  1.50
Co  0.374  0.374  0.374  1.50
Si  0.000  0.000  0.000  -0.01
Pb  0.750  0.750  0.750  -0.04



Number 1: V 167 Å³/cell. Number 2: V 83 Å³/cell.